1.
# MnCdAu2 | the Alexandria database | GGA-PBEsol | relaxed
# **Space-group type**: Cm, No. 8
# **Raw total energy**: -4.6873 eV per atom
# **Formation energy**: 0.01 eV/atom
# **Crystal system**: monoclinic
data_MnCdAu2
_symmetry_space_group_name_H-M 'P 1'
_symmetry_Int_Tables_number 1
_symmetry_space_group_name_Hall 'P 1'
_cell_length_a 3.143
_cell_length_b 4.705
_cell_length_c 4.978
_cell_angle_alpha 103.14
_cell_angle_beta 108.41
_cell_angle_gamma 90.00
loop_
_atom_site_label
_atom_site_type_symbol
_atom_site_fract_x
_atom_site_fract_y
_atom_site_fract_z
Au1 Au 0.006 0.025 0.012
Au2 Au 0.251 0.738 0.502
Mn1 Mn 0.745 0.224 0.490
Cd1 Cd 0.498 0.513 0.996

=====

2.
# MnCdSbAu2 | the Alexandria database | GGA-PBEsol | relaxed
# **Space-group type**: P4/mmm, No. 123
# **Raw total energy**: -3.7311 eV per atom
# **Raw formation energy**: 91 kJ per mole of atoms
# **Crystal system**: tetragonal
data_MnCdSbAu2
_symmetry_space_group_name_H-M 'P 1'
_symmetry_Int_Tables_number 1
_symmetry_space_group_name_Hall 'P 1'
_cell_length_a 4.904
_cell_length_b 4.993
_cell_length_c 4.993
_cell_angle_alpha 90.00
_cell_angle_beta 90.00
_cell_angle_gamma 90.00
loop_
_atom_site_label
_atom_site_type_symbol
_atom_site_fract_x
_atom_site_fract_y
_atom_site_fract_z
Au1 Au 0.000 0.500 0.000
Au2 Au 0.000 0.000 0.500
Mn1 Mn 0.500 0.000 0.000
Cd1 Cd 0.000 0.000 0.000
Sb1 Sb 0.500 0.500 0.500

=====

3.
# TiMnCd2Au | the Alexandria database | GGA-PBEsol | relaxed
# **Space-group type**: P4/mmm, No. 123
# **Raw total energy**: -3.8107 eV per atom
# **Formation energy**: 1.07 eV/atom
# **Crystal system**: tetragonal
data_TiMnCd2Au
_symmetry_space_group_name_H-M 'P 1'
_symmetry_Int_Tables_number 1
_symmetry_space_group_name_Hall 'P 1'
_cell_length_a 4.077
_cell_length_b 5.137
_cell_length_c 5.137
_cell_angle_alpha 90.00
_cell_angle_beta 90.00
_cell_angle_gamma 90.00
loop_
_atom_site_label
_atom_site_type_symbol
_atom_site_fract_x
_atom_site_fract_y
_atom_site_fract_z
Au1 Au 0.500 0.500 0.500
Cd1 Cd 0.000 0.500 0.000
Cd2 Cd 0.000 0.000 0.500
Ti1 Ti 0.000 0.000 0.000
Mn1 Mn 0.500 0.000 0.000

=====

4.
# Cd2MoAu | the Alexandria database | GGA-PBEsol | relaxed
# **Space-group type**: R-3m, No. 166
# **Raw total energy**: -4.2929 eV per atom
# **Formation energy**: 0.23 eV/atom
# **Crystal system**: trigonal
data_Cd2MoAu
_symmetry_space_group_name_H-M 'P 1'
_symmetry_Int_Tables_number 1
_symmetry_space_group_name_Hall 'P 1'
_cell_length_a 2.886
_cell_length_b 2.886
_cell_length_c 9.851
_cell_angle_alpha 81.58
_cell_angle_beta 81.58
_cell_angle_gamma 60.00
loop_
_atom_site_label
_atom_site_type_symbol
_atom_site_fract_x
_atom_site_fract_y
_atom_site_fract_z
Cd1 Cd 0.250 0.250 0.251
Cd2 Cd 0.750 0.750 0.749
Au1 Au 0.000 0.000 0.000
Mo1 Mo 0.500 0.500 0.500

=====

5.
# Cd2MoAu | the Alexandria database | GGA-PBEsol | relaxed
# **Space-group type**: I4/mmm, No. 139
# **Raw total energy**: -4.0817 eV per atom
# **Formation energy**: 0.44 eV/atom
# **Crystal system**: tetragonal
data_Cd2MoAu
_symmetry_space_group_name_H-M 'P 1'
_symmetry_Int_Tables_number 1
_symmetry_space_group_name_Hall 'P 1'
_cell_length_a 4.332
_cell_length_b 4.901
_cell_length_c 4.332
_cell_angle_alpha 63.77
_cell_angle_beta 90.00
_cell_angle_gamma 116.23
loop_
_atom_site_label
_atom_site_type_symbol
_atom_site_fract_x
_atom_site_fract_y
_atom_site_fract_z
Cd1 Cd 0.750 0.500 0.750
Mo1 Mo 0.500 0.000 0.500
Cd2 Cd 0.250 0.500 0.250
Au1 Au 0.000 0.000 0.000

=====

6.
# CdMoAu | the Alexandria database | GGA-PBEsol | relaxed
# **Space-group type**: F-43m, No. 216
# **Raw total energy**: -4.6716 eV per atom
# **Formation energy**: 0.96 eV/atom
# **Crystal system**: cubic
data_CdMoAu
_symmetry_space_group_name_H-M 'P 1'
_symmetry_Int_Tables_number 1
_symmetry_space_group_name_Hall 'P 1'
_cell_length_a 4.419
_cell_length_b 4.419
_cell_length_c 4.419
_cell_angle_alpha 60.00
_cell_angle_beta 60.00
_cell_angle_gamma 60.00
loop_
_atom_site_label
_atom_site_type_symbol
_atom_site_fract_x
_atom_site_fract_y
_atom_site_fract_z
Mo1 Mo 0.250 0.250 0.250
Cd1 Cd 0.500 0.500 0.500
Au1 Au 0.000 0.000 0.000

=====

7.
# Cd4MoAu | the Alexandria database | GGA-PBEsol | relaxed
# **Space-group type**: F-43m, No. 216
# **Raw total energy**: -2.8336 eV per atom
# **Formation energy**: 0.58 eV/atom
# **Crystal system**: cubic
data_Cd4MoAu
_symmetry_space_group_name_H-M 'P 1'
_symmetry_Int_Tables_number 1
_symmetry_space_group_name_Hall 'P 1'
_cell_length_a 5.488
_cell_length_b 5.488
_cell_length_c 5.488
_cell_angle_alpha 60.00
_cell_angle_beta 60.00
_cell_angle_gamma 60.00
loop_
_atom_site_label
_atom_site_type_symbol
_atom_site_fract_x
_atom_site_fract_y
_atom_site_fract_z
Mo1 Mo 0.750 0.750 0.750
Cd1 Cd 0.375 0.875 0.375
Cd2 Cd 0.375 0.375 0.375
Cd3 Cd 0.375 0.375 0.875
Cd4 Cd 0.875 0.375 0.375
Au1 Au 0.000 0.000 0.000

=====

8.
# Cd2MoAu | the Alexandria database | GGA-PBEsol | relaxed
# **Space-group type**: P4mm, No. 99
# **Raw total energy**: -4.3577 eV per atom
# **Formation energy**: 0.16 eV/atom
# **Crystal system**: tetragonal
data_Cd2MoAu
_symmetry_space_group_name_H-M 'P 1'
_symmetry_Int_Tables_number 1
_symmetry_space_group_name_Hall 'P 1'
_cell_length_a 2.847
_cell_length_b 2.847
_cell_length_c 8.680
_cell_angle_alpha 90.00
_cell_angle_beta 90.00
_cell_angle_gamma 90.00
loop_
_atom_site_label
_atom_site_type_symbol
_atom_site_fract_x
_atom_site_fract_y
_atom_site_fract_z
Au1 Au 0.500 0.500 0.737
Cd1 Cd 0.500 0.500 0.263
Cd2 Cd 0.000 0.000 0.989
Mo1 Mo 0.000 0.000 0.511

=====

9.
# Na3CdAu | the Alexandria database | GGA-PBEsol | relaxed
# **Space-group type**: Pm-3m, No. 221
# **Raw total energy**: -1.4441 eV per atom
# **Formation energy**: 0.42 eV/atom
# **Crystal system**: cubic
data_Na3CdAu
_symmetry_space_group_name_H-M 'P 1'
_symmetry_Int_Tables_number 1
_symmetry_space_group_name_Hall 'P 1'
_cell_length_a 5.512
_cell_length_b 5.512
_cell_length_c 5.512
_cell_angle_alpha 90.00
_cell_angle_beta 90.00
_cell_angle_gamma 90.00
loop_
_atom_site_label
_atom_site_type_symbol
_atom_site_fract_x
_atom_site_fract_y
_atom_site_fract_z
Na1 Na 0.000 0.500 0.000
Au1 Au 0.500 0.500 0.500
Na2 Na 0.000 0.000 0.500
Cd1 Cd 0.000 0.000 0.000
Na3 Na 0.500 0.000 0.000

=====

10.
# Na6Cd16Au7 | the Alexandria database | GGA-PBEsol | relaxed
# **Space-group type**: Fm-3m, No. 225
# **Raw total energy**: -2.1174 eV per atom
# **Formation energy**: -0.22 eV/atom
# **Crystal system**: cubic
data_Na6Cd16Au7
_symmetry_space_group_name_H-M 'P 1'
_symmetry_Int_Tables_number 1
_symmetry_space_group_name_Hall 'P 1'
_cell_length_a 9.555
_cell_length_b 9.555
_cell_length_c 9.555
_cell_angle_alpha 60.00
_cell_angle_beta 60.00
_cell_angle_gamma 60.00
loop_
_atom_site_label
_atom_site_type_symbol
_atom_site_fract_x
_atom_site_fract_y
_atom_site_fract_z
Au1 Au 0.000 0.000 0.500
Cd1 Cd 0.336 0.336 0.992
Cd2 Cd 0.664 0.008 0.664
Cd3 Cd 0.643 0.119 0.119
Cd4 Cd 0.992 0.336 0.336
Na1 Na 0.709 0.709 0.291
Na2 Na 0.291 0.291 0.709
Au2 Au 0.000 0.500 0.000
Na3 Na 0.291 0.709 0.291
Na4 Na 0.709 0.291 0.709
Cd5 Cd 0.881 0.881 0.357
Cd6 Cd 0.336 0.992 0.336
Au3 Au 0.000 0.000 0.000
Cd7 Cd 0.664 0.664 0.664
Cd8 Cd 0.008 0.664 0.664
Cd9 Cd 0.119 0.119 0.643
Cd10 Cd 0.336 0.336 0.336
Au4 Au 0.500 0.000 0.500
Cd11 Cd 0.664 0.664 0.008
Cd12 Cd 0.881 0.881 0.881
Na5 Na 0.291 0.709 0.709
Au5 Au 0.000 0.500 0.500
Na6 Na 0.709 0.291 0.291
Au6 Au 0.500 0.000 0.000
Cd13 Cd 0.119 0.643 0.119
Cd14 Cd 0.119 0.119 0.119
Cd15 Cd 0.881 0.357 0.881
Au7 Au 0.500 0.500 0.000
Cd16 Cd 0.357 0.881 0.881

=====

11.
# NaCd2Au2 | the Alexandria database | GGA-PBEsol | relaxed
# **Space-group type**: P4/mbm, No. 127
# **Raw total energy**: -2.5545 eV per atom
# **Formation energy**: -0.23 eV/atom
# **Crystal system**: tetragonal
data_NaCd2Au2
_symmetry_space_group_name_H-M 'P 1'
_symmetry_Int_Tables_number 1
_symmetry_space_group_name_Hall 'P 1'
_cell_length_a 3.042
_cell_length_b 8.112
_cell_length_c 8.112
_cell_angle_alpha 90.00
_cell_angle_beta 90.00
_cell_angle_gamma 90.00
loop_
_atom_site_label
_atom_site_type_symbol
_atom_site_fract_x
_atom_site_fract_y
_atom_site_fract_z
Au1 Au 0.000 0.366 0.866
Cd1 Cd 0.500 0.664 0.836
Na1 Na 0.000 0.500 0.500
Au2 Au 0.000 0.134 0.366
Cd2 Cd 0.500 0.164 0.664
Cd3 Cd 0.500 0.836 0.336
Cd4 Cd 0.500 0.336 0.164
Na2 Na 0.000 0.000 0.000
Au3 Au 0.000 0.866 0.634
Au4 Au 0.000 0.634 0.134

=====

12.
# NaCd2Au2 | the Alexandria database | GGA-PBEsol | relaxed
# **Space-group type**: I4/mmm, No. 139
# **Raw total energy**: -2.4904 eV per atom
# **Formation energy**: -0.16 eV/atom
# **Crystal system**: tetragonal
data_NaCd2Au2
_symmetry_space_group_name_H-M 'P 1'
_symmetry_Int_Tables_number 1
_symmetry_space_group_name_Hall 'P 1'
_cell_length_a 4.187
_cell_length_b 4.187
_cell_length_c 6.997
_cell_angle_alpha 107.41
_cell_angle_beta 107.41
_cell_angle_gamma 90.00
loop_
_atom_site_label
_atom_site_type_symbol
_atom_site_fract_x
_atom_site_fract_y
_atom_site_fract_z
Au1 Au 0.397 0.397 0.793
Au2 Au 0.603 0.603 0.207
Na1 Na 0.000 0.000 0.000
Cd1 Cd 0.750 0.250 0.500
Cd2 Cd 0.250 0.750 0.500

=====

13.
# Na2CdAu2 | the Alexandria database | GGA-PBEsol | relaxed
# **Space-group type**: I4/mmm, No. 139
# **Raw total energy**: -2.3442 eV per atom
# **Formation energy**: 0.02 eV/atom
# **Crystal system**: tetragonal
data_Na2CdAu2
_symmetry_space_group_name_H-M 'P 1'
_symmetry_Int_Tables_number 1
_symmetry_space_group_name_Hall 'P 1'
_cell_length_a 3.973
_cell_length_b 3.973
_cell_length_c 7.406
_cell_angle_alpha 105.56
_cell_angle_beta 105.56
_cell_angle_gamma 90.00
loop_
_atom_site_label
_atom_site_type_symbol
_atom_site_fract_x
_atom_site_fract_y
_atom_site_fract_z
Au1 Au 0.596 0.596 0.192
Au2 Au 0.404 0.404 0.808
Cd1 Cd 0.000 0.000 0.000
Na1 Na 0.250 0.750 0.500
Na2 Na 0.750 0.250 0.500

=====

14.
# NaCd2Au | the Alexandria database | GGA-PBEsol | relaxed
# **Space-group type**: Fm-3m, No. 225
# **Raw total energy**: -2.1153 eV per atom
# **Formation energy**: -0.19 eV/atom
# **Crystal system**: cubic
data_NaCd2Au
_symmetry_space_group_name_H-M 'P 1'
_symmetry_Int_Tables_number 1
_symmetry_space_group_name_Hall 'P 1'
_cell_length_a 4.778
_cell_length_b 4.778
_cell_length_c 4.778
_cell_angle_alpha 60.00
_cell_angle_beta 60.00
_cell_angle_gamma 60.00
loop_
_atom_site_label
_atom_site_type_symbol
_atom_site_fract_x
_atom_site_fract_y
_atom_site_fract_z
Na1 Na 0.000 0.000 0.000
Au1 Au 0.500 0.500 0.500
Cd1 Cd 0.750 0.750 0.750
Cd2 Cd 0.250 0.250 0.250

=====

15.
# Na2CdAu2 | the Alexandria database | GGA-PBEsol | relaxed
# **Space-group type**: P4/mbm, No. 127
# **Raw total energy**: -2.5599 eV per atom
# **Formation energy**: -0.19 eV/atom
# **Crystal system**: tetragonal
data_Na2CdAu2
_symmetry_space_group_name_H-M 'P 1'
_symmetry_Int_Tables_number 1
_symmetry_space_group_name_Hall 'P 1'
_cell_length_a 4.306
_cell_length_b 7.156
_cell_length_c 7.156
_cell_angle_alpha 90.00
_cell_angle_beta 90.00
_cell_angle_gamma 90.00
loop_
_atom_site_label
_atom_site_type_symbol
_atom_site_fract_x
_atom_site_fract_y
_atom_site_fract_z
Au1 Au 0.000 0.135 0.365
Au2 Au 0.000 0.635 0.135
Na1 Na 0.500 0.666 0.834
Au3 Au 0.000 0.365 0.865
Na2 Na 0.500 0.834 0.334
Na3 Na 0.500 0.334 0.166
Au4 Au 0.000 0.865 0.635
Cd1 Cd 0.000 0.500 0.500
Na4 Na 0.500 0.166 0.666
Cd2 Cd 0.000 0.000 0.000

=====

16.
# NaCd2PAu | the Alexandria database | GGA-PBEsol | relaxed
# **Space-group type**: P4/mmm, No. 123
# **Raw total energy**: -2.4518 eV per atom
# **Formation energy**: 0.25 eV/atom
# **Crystal system**: tetragonal
data_NaCd2PAu
_symmetry_space_group_name_H-M 'P 1'
_symmetry_Int_Tables_number 1
_symmetry_space_group_name_Hall 'P 1'
_cell_length_a 4.902
_cell_length_b 5.174
_cell_length_c 5.174
_cell_angle_alpha 90.00
_cell_angle_beta 90.00
_cell_angle_gamma 90.00
loop_
_atom_site_label
_atom_site_type_symbol
_atom_site_fract_x
_atom_site_fract_y
_atom_site_fract_z
Cd1 Cd 0.000 0.500 0.000
Cd2 Cd 0.000 0.000 0.500
P1 P 0.500 0.000 0.000
Na1 Na 0.500 0.500 0.500
Au1 Au 0.000 0.000 0.000

=====

17.
# Nb2CdAu2 | the Alexandria database | GGA-PBEsol | relaxed
# **Space-group type**: I4/mmm, No. 139
# **Raw total energy**: -5.9369 eV per atom
# **Formation energy**: 0.20 eV/atom
# **Crystal system**: tetragonal
data_Nb2CdAu2
_symmetry_space_group_name_H-M 'P 1'
_symmetry_Int_Tables_number 1
_symmetry_space_group_name_Hall 'P 1'
_cell_length_a 3.753
_cell_length_b 3.753
_cell_length_c 7.356
_cell_angle_alpha 104.78
_cell_angle_beta 104.78
_cell_angle_gamma 90.00
loop_
_atom_site_label
_atom_site_type_symbol
_atom_site_fract_x
_atom_site_fract_y
_atom_site_fract_z
Nb1 Nb 0.250 0.750 0.500
Au1 Au 0.597 0.597 0.193
Au2 Au 0.403 0.403 0.807
Nb2 Nb 0.750 0.250 0.500
Cd1 Cd 0.000 0.000 0.000

=====

18.
# RbNbCdAu2 | the Alexandria database | GGA-PBEsol | relaxed
# **Space-group type**: P4/mmm, No. 123
# **Raw total energy**: -2.1481 eV per atom
# **Formation energy**: 2.03 eV/atom
# **Crystal system**: tetragonal
data_RbNbCdAu2
_symmetry_space_group_name_H-M 'P 1'
_symmetry_Int_Tables_number 1
_symmetry_space_group_name_Hall 'P 1'
_cell_length_a 5.359
_cell_length_b 5.505
_cell_length_c 5.505
_cell_angle_alpha 90.00
_cell_angle_beta 90.00
_cell_angle_gamma 90.00
loop_
_atom_site_label
_atom_site_type_symbol
_atom_site_fract_x
_atom_site_fract_y
_atom_site_fract_z
Au1 Au 0.000 0.000 0.500
Au2 Au 0.000 0.500 0.000
Cd1 Cd 0.500 0.500 0.500
Nb1 Nb 0.500 0.000 0.000
Rb1 Rb 0.000 0.000 0.000

=====

19.
# NbCdTe2Au | the Alexandria database | GGA-PBEsol | relaxed
# **Space-group type**: P4/mmm, No. 123
# **Raw total energy**: -3.4832 eV per atom
# **Raw formation energy**: 108 kJ per mole of atoms
# **Crystal system**: tetragonal
data_NbCdTe2Au
_symmetry_space_group_name_H-M 'P 1'
_symmetry_Int_Tables_number 1
_symmetry_space_group_name_Hall 'P 1'
_cell_length_a 4.961
_cell_length_b 5.404
_cell_length_c 5.404
_cell_angle_alpha 90.00
_cell_angle_beta 90.00
_cell_angle_gamma 90.00
loop_
_atom_site_label
_atom_site_type_symbol
_atom_site_fract_x
_atom_site_fract_y
_atom_site_fract_z
Cd1 Cd 0.000 0.000 0.000
Te1 Te 0.000 0.500 0.000
Nb1 Nb 0.500 0.500 0.500
Au1 Au 0.500 0.000 0.000
Te2 Te 0.000 0.000 0.500

=====

20.
# Nd2CdAu2 | the Alexandria database | GGA-PBEsol | relaxed
# **Space-group type**: P4/mbm, No. 127
# **Raw total energy**: -4.5842 eV per atom
# **Formation energy**: -0.71 eV/atom
# **Crystal system**: tetragonal
data_Nd2CdAu2
_symmetry_space_group_name_H-M 'P 1'
_symmetry_Int_Tables_number 1
_symmetry_space_group_name_Hall 'P 1'
_cell_length_a 3.830
_cell_length_b 7.961
_cell_length_c 7.961
_cell_angle_alpha 90.00
_cell_angle_beta 90.00
_cell_angle_gamma 90.00
loop_
_atom_site_label
_atom_site_type_symbol
_atom_site_fract_x
_atom_site_fract_y
_atom_site_fract_z
Au1 Au 0.000 0.128 0.372
Au2 Au 0.000 0.872 0.628
Au3 Au 0.000 0.628 0.128
Nd1 Nd 0.500 0.828 0.328
Au4 Au 0.000 0.372 0.872
Nd2 Nd 0.500 0.328 0.172
Cd1 Cd 0.000 0.000 0.000
Cd2 Cd 0.000 0.500 0.500
Nd3 Nd 0.500 0.172 0.672
Nd4 Nd 0.500 0.672 0.828